[1]
VASP calculation (PBE-GGA) on a relaxed NiHgSbI2 crystal.

Properties
Offset from the most stable computed form, meV/atom: 859
Crystal system: tetragonal

Unit cell a=5.9603 b=5.9603 c=5.6144 alpha=90.00 beta=90.00 gamma=90.00
Closest atoms and distances in Å follow each position.
Positions (direct):
Hg: 0.0000 0.0000 0.0000  2 Sb 2.81, 4 I 2.98
I: 0.5000 0.0000 0.0000  2 Hg 2.98
Sb: 0.0000 0.0000 0.5000  2 Hg 2.81
Ni: 0.5000 0.5000 0.5000  8 I 4.09, 4 Sb 4.21
I: 0.0000 0.5000 0.0000  2 Hg 2.98



[2]
VASP calculation (PBE-GGA) on a relaxed Ni2HgSbI crystal.

Properties
Crystal system: tetragonal

Unit cell a=4.6094 b=6.3615 c=4.6094 alpha=90.00 beta=90.00 gamma=90.00
Closest atoms and distances in Å follow each position.
Positions (direct):
I: 0.0000 0.0000 0.0000  4 Ni 2.30
Ni: 0.0000 0.0000 0.5000  2 I 2.30
Hg: 0.5000 0.5000 0.5000  4 Sb 3.26
Sb: 0.0000 0.5000 0.0000  2 I 3.18, 4 Hg 3.26
Ni: 0.5000 0.0000 0.0000  2 I 2.30



[3]
VASP calculation (PBE-GGA) on a relaxed ScNiHgI2 crystal.

Properties
Offset from the most stable computed form, meV/atom: 0
Crystal system: tetragonal

Unit cell a=5.4737 b=4.8025 c=5.4737 alpha=90.00 beta=90.00 gamma=90.00
Closest atoms and distances in Å follow each position.
Positions (direct):
Ni: 0.0000 0.0000 0.0000  2 Sc 2.40
I: 0.0000 0.0000 0.5000  2 Ni 2.74
Hg: 0.5000 0.5000 0.5000  8 I 3.64, 4 Sc 3.87
Sc: 0.0000 0.5000 0.0000  2 Ni 2.40
I: 0.5000 0.0000 0.0000  2 Ni 2.74



[4]
VASP calculation (PBE-GGA) on a relaxed NiHgTe2I crystal.

Properties
Offset from the most stable computed form, meV/atom: 952
Crystal system: tetragonal

Unit cell a=5.8356 b=5.9203 c=5.8356 alpha=90.00 beta=90.00 gamma=90.00
Closest atoms and distances in Å follow each position.
Positions (direct):
Ni: 0.5000 0.5000 0.5000  4 Hg 4.13, 8 Te 4.16
Hg: 0.0000 0.5000 0.0000  2 I 2.96
I: 0.0000 0.0000 0.0000  4 Te 2.92, 2 Hg 2.96
Te: 0.5000 0.0000 0.0000  2 I 2.92
Te: 0.0000 0.0000 0.5000  2 I 2.92



[5]
VASP calculation (PBE-GGA) on a relaxed NiHgTe2I crystal.

Properties
Offset from the most stable computed form, meV/atom: 797
Crystal system: tetragonal

Unit cell a=5.6383 b=5.6383 c=5.8922 alpha=90.00 beta=90.00 gamma=90.00
Closest atoms and distances in Å follow each position.
Positions (direct):
Ni: 0.5000 0.5000 0.5000  4 I 3.99, 8 Te 4.08
I: 0.0000 0.0000 0.5000  2 Hg 2.95
Te: 0.5000 0.0000 0.0000  2 Hg 2.82
Te: 0.0000 0.5000 0.0000  2 Hg 2.82
Hg: 0.0000 0.0000 0.0000  4 Te 2.82, 2 I 2.95



[6]
VASP calculation (PBE-GGA) on a relaxed NiHgTe2I crystal.

Properties
Offset from the most stable computed form, meV/atom: 0
Crystal system: tetragonal

Unit cell a=5.1464 b=5.1464 c=5.3767 alpha=90.00 beta=90.00 gamma=90.00
Closest atoms and distances in Å follow each position.
Positions (direct):
Te: 0.0000 0.5000 0.0000  2 Ni 2.57
I: 0.0000 0.0000 0.5000  2 Ni 2.69
Ni: 0.0000 0.0000 0.0000  4 Te 2.57, 2 I 2.69
Hg: 0.5000 0.5000 0.5000  4 I 3.64, 8 Te 3.72
Te: 0.5000 0.0000 0.0000  2 Ni 2.57



no.,raw formation energy (eV per atom)
1,1.0633
2,0.8898
3,0.0327
4,1.2322
5,1.0780
6,0.2806